No. 1
Compound: RbSbSN2
Source: the Alexandria database
Functional: PBEsol
Structure: optimized geometry Values from VASP.

Structure (Quantum ESPRESSO input):
```
&SYSTEM
  ibrav = 0, nat = 5, ntyp = 4
/
ATOMIC_SPECIES
Sb 121.76 Sb.upf
S 32.06 S.upf
Rb 85.47 Rb.upf
N 14.01 N.upf
CELL_PARAMETERS angstrom
-1.515 2.554 3.302
-4.082 -0.172 -1.740
-1.162 -4.834 3.206
ATOMIC_POSITIONS crystal
Sb 0.500 0.500 0.500
S 0.000 0.000 0.500
Rb 0.000 0.000 0.000
N 0.000 0.500 0.000
N 0.500 0.000 0.000
```

Values from the calculation:
Its space group is P4/mmm (123). The formation energy (no corrections) comes out at 2.325 eV/atom. The total energy is -3.079 eV per atom. Its crystal system is tetragonal.


No. 2
Compound: RbScSN2
Source: the Alexandria database
Functional: PBEsol
Structure: optimized geometry Values from VASP.

Structure (Quantum ESPRESSO input):
```
&SYSTEM
  ibrav = 0, nat = 5, ntyp = 4
/
ATOMIC_SPECIES
Sc 44.96 Sc.upf
S 32.06 S.upf
Rb 85.47 Rb.upf
N 14.01 N.upf
CELL_PARAMETERS angstrom
-3.374 -1.133 2.647
2.879 -1.353 3.091
0.020 4.573 1.984
ATOMIC_POSITIONS crystal
Sc 0.000 0.000 0.000
S 0.000 0.000 0.500
Rb 0.500 0.500 0.500
N 0.000 0.500 0.000
N 0.500 0.000 0.000
```

Values from the calculation:
Its space group is P4/mmm (123). The formation energy (no corrections) comes out at 0.125 eV/atom. The total energy is -5.688 eV per atom. Its crystal system is tetragonal.


No. 3
Compound: RbSeSN2
Source: the Alexandria database
Functional: PBEsol
Structure: optimized geometry Values from VASP.

Structure (Quantum ESPRESSO input):
```
&SYSTEM
  ibrav = 0, nat = 5, ntyp = 4
/
ATOMIC_SPECIES
S 32.06 S.upf
Se 78.96 Se.upf
Rb 85.47 Rb.upf
N 14.01 N.upf
CELL_PARAMETERS angstrom
-0.891 1.961 -4.414
-0.395 -4.503 -1.921
-6.384 0.009 1.292
ATOMIC_POSITIONS crystal
S 0.500 0.500 0.500
Se 0.000 0.000 0.500
Rb 0.000 0.000 0.000
N 0.000 0.500 0.000
N 0.500 0.000 0.000
```

Values from the calculation:
Its space group is P4/mmm (123). The formation energy (no corrections) comes out at 2.569 eV/atom. As for the polymorph energy (0 for the lowest one): 1432 meV per atom. The total energy is -2.693 eV per atom. Its crystal system is tetragonal.